# CSe2BrCl PBE optimized geometry
data_CSe2BrCl
_chemical_formula_sum 'C1 Se2 Br1 Cl1'
_space_group_name_H-M_alt 'P 4/m m m'
_space_group_IT_number 123
_space_group_name_Hall '-P 4 2'
_cell_length_a 5.0587
_cell_length_b 5.0587
_cell_length_c 5.1985
_cell_angle_alpha 90.00
_cell_angle_beta 90.00
_cell_angle_gamma 90.00
loop_
_atom_site_label
_atom_site_fract_x
_atom_site_fract_y
_atom_site_fract_z
C1 0.0000 0.0000 0.0000
Se1 0.0000 0.5000 0.5000
Br1 0.5000 0.5000 0.0000
Cl1 0.5000 0.5000 0.5000
# Total magnetization = 0.211 μB/f.u.
# E_tot = -1.776 eV per atom